(1)
This record from Alexandria via LeMat-Bulk describes crystalline Sm2PuCuS5 at its relaxed geometry. The functional is PBE.

Cell and atoms, written as CIF:
```
data_Sm2PuCuS5
_chemical_formula_sum 'Sm8 Pu4 Cu4 S20'
_cell_length_a 3.896
_cell_length_b 17.006
_cell_length_c 11.480
_cell_angle_alpha 90.00
_cell_angle_beta 90.00
_cell_angle_gamma 90.00
_space_group_name_H-M_alt 'C m c 21'
_space_group_IT_number 36
loop_
_space_group_symop_operation_xyz
'x,y,z'
'-x,-y,z+1/2'
'-x,y,z'
'x,-y,z+1/2'
'x+1/2,y+1/2,z'
'-x+1/2,-y+1/2,z+1/2'
'-x+1/2,y+1/2,z'
'x+1/2,-y+1/2,z+1/2'
loop_
_atom_site_label
_atom_site_type_symbol
_atom_site_fract_x
_atom_site_fract_y
_atom_site_fract_z
Sm1 Sm 0.000 0.106 0.000
Sm2 Sm 0.000 0.119 0.624
Pu1 Pu 0.000 0.199 0.324
Cu1 Cu 0.000 0.442 0.768
S1 S 0.000 0.046 0.374
S2 S 0.000 0.291 0.992
S3 S 0.000 0.318 0.661
S4 S 0.000 0.361 0.316
S5 S 0.000 0.498 0.091
```

- Mass density: 6711 kg/m³
- Calculated total energy: -251.7 eV/cell
- E_form (uncorrected): -1.603 eV per atom
- V: 21.1 Å³ per atom

(2)
This record from Alexandria via LeMat-Bulk describes crystalline SmPuCu2S4 at its relaxed geometry. The functional is PBE.

Cell and atoms, written as CIF:
```
data_SmPuCu2S4
_chemical_formula_sum 'Sm2 Pu2 Cu4 S8'
_cell_length_a 6.570
_cell_length_b 6.574
_cell_length_c 7.306
_cell_angle_alpha 90.00
_cell_angle_beta 90.00
_cell_angle_gamma 90.00
_space_group_name_H-M_alt 'I 2 2 2'
_space_group_IT_number 23
loop_
_space_group_symop_operation_xyz
'x,y,z'
'-x,-y,z'
'x,-y,-z'
'-x,y,-z'
'x+1/2,y+1/2,z+1/2'
'-x+1/2,-y+1/2,z+1/2'
'x+1/2,-y+1/2,-z+1/2'
'-x+1/2,y+1/2,-z+1/2'
loop_
_atom_site_label
_atom_site_type_symbol
_atom_site_fract_x
_atom_site_fract_y
_atom_site_fract_z
Sm1 Sm 0.000 0.000 0.000
Pu1 Pu 0.000 0.000 0.500
Cu1 Cu 0.000 0.500 0.189
S1 S 0.239 0.257 0.223
```

- Mass density: 6837 kg/m³
- Calculated total energy: -105.0 eV/cell
- E_form (uncorrected): -1.092 eV per atom
- V: 19.7 Å³ per atom

(3)
This record from Alexandria via LeMat-Bulk describes crystalline PuCuSn2S5 at its relaxed geometry. The functional is PBE.

Cell and atoms, written as CIF:
```
data_PuCuSn2S5
_chemical_formula_sum 'Pu4 Cu4 Sn8 S20'
_cell_length_a 3.941
_cell_length_b 18.955
_cell_length_c 11.990
_cell_angle_alpha 90.00
_cell_angle_beta 90.00
_cell_angle_gamma 90.00
_space_group_name_H-M_alt 'C m c 21'
_space_group_IT_number 36
loop_
_space_group_symop_operation_xyz
'x,y,z'
'-x,-y,z+1/2'
'-x,y,z'
'x,-y,z+1/2'
'x+1/2,y+1/2,z'
'-x+1/2,-y+1/2,z+1/2'
'-x+1/2,y+1/2,z'
'x+1/2,-y+1/2,z+1/2'
loop_
_atom_site_label
_atom_site_type_symbol
_atom_site_fract_x
_atom_site_fract_y
_atom_site_fract_z
Pu1 Pu 0.000 0.201 0.000
Cu1 Cu 0.000 0.427 0.421
Sn1 Sn 0.000 0.075 0.248
Sn2 Sn 0.000 0.145 0.635
S1 S 0.000 0.061 0.021
S2 S 0.000 0.286 0.650
S3 S 0.000 0.312 0.356
S4 S 0.000 0.342 0.986
S5 S 0.000 0.485 0.253
```

- Mass density: 5231 kg/m³
- Calculated total energy: -212.8 eV/cell
- E_form (uncorrected): -0.680 eV per atom
- V: 24.9 Å³ per atom

(4)
This record from Alexandria via LeMat-Bulk describes crystalline SrPuCu2S4 at its relaxed geometry. The functional is PBE.

Cell and atoms, written as CIF:
```
data_SrPuCu2S4
_chemical_formula_sum 'Sr2 Pu2 Cu4 S8'
_cell_length_a 6.607
_cell_length_b 6.607
_cell_length_c 7.558
_cell_angle_alpha 90.00
_cell_angle_beta 90.00
_cell_angle_gamma 90.00
_space_group_name_H-M_alt 'I -4 2 m'
_space_group_IT_number 121
_space_group_name_Hall 'I -4 2'
loop_
_atom_site_label
_atom_site_type_symbol
_atom_site_fract_x
_atom_site_fract_y
_atom_site_fract_z
Sr1 Sr 0.000 0.000 0.000
Pu1 Pu 0.000 0.000 0.500
Cu1 Cu 0.000 0.500 0.250
S1 S 0.243 0.243 0.258
```

- Mass density: 5909 kg/m³
- Calculated total energy: -97.8 eV/cell
- E_form (uncorrected): -1.022 eV per atom
- V: 20.6 Å³ per atom

(5)
This record from Alexandria via LeMat-Bulk describes crystalline SrPu4Cu3S12 at its relaxed geometry. The functional is PBE.

Cell and atoms, written as CIF:
```
data_SrPu4Cu3S12
_chemical_formula_sum 'Sr2 Pu8 Cu6 S24'
_cell_length_a 9.681
_cell_length_b 9.681
_cell_length_c 9.681
_cell_angle_alpha 90.00
_cell_angle_beta 90.00
_cell_angle_gamma 90.00
_space_group_name_H-M_alt 'I m -3'
_space_group_IT_number 204
_space_group_name_Hall '-I 2 2 3'
loop_
_atom_site_label
_atom_site_type_symbol
_atom_site_fract_x
_atom_site_fract_y
_atom_site_fract_z
Sr1 Sr 0.000 0.000 0.000
Pu1 Pu 0.250 0.250 0.250
Cu1 Cu 0.000 0.000 0.500
S1 S 0.000 0.159 0.317
```

- Mass density: 6000 kg/m³
- Calculated total energy: -280.1 eV/cell
- E_form (uncorrected): -0.961 eV per atom
- V: 22.7 Å³ per atom

(6)
This record from Alexandria via LeMat-Bulk describes crystalline TbPuCu2S4 at its relaxed geometry. The functional is PBE.

Cell and atoms, written as CIF:
```
data_TbPuCu2S4
_chemical_formula_sum 'Tb2 Pu2 Cu4 S8'
_cell_length_a 6.522
_cell_length_b 6.574
_cell_length_c 7.320
_cell_angle_alpha 90.00
_cell_angle_beta 90.00
_cell_angle_gamma 90.00
_space_group_name_H-M_alt 'I 2 2 2'
_space_group_IT_number 23
loop_
_space_group_symop_operation_xyz
'x,y,z'
'-x,-y,z'
'x,-y,-z'
'-x,y,-z'
'x+1/2,y+1/2,z+1/2'
'-x+1/2,-y+1/2,z+1/2'
'x+1/2,-y+1/2,-z+1/2'
'-x+1/2,y+1/2,-z+1/2'
loop_
_atom_site_label
_atom_site_type_symbol
_atom_site_fract_x
_atom_site_fract_y
_atom_site_fract_z
Tb1 Tb 0.000 0.000 0.000
Pu1 Pu 0.000 0.000 0.500
Cu1 Cu 0.000 0.500 0.317
S1 S 0.249 0.233 0.786
```

- Mass density: 6966 kg/m³
- Calculated total energy: -104.7 eV/cell
- E_form (uncorrected): -1.085 eV per atom
- V: 19.6 Å³ per atom